Entry 1:
# NaH2SO4 PBE relaxed
# Energy above the lowest structure with this stoichiometry: 0.00 kJ/mol of atoms
# Density of states at the Fermi level: 0.0 states/eV per cell
# DFT total energy: -344.76 eV for the cell shown
data_NaH2SO4
_chemical_formula_sum 'Na8 H16 S8 O32'
_symmetry_space_group_name_H-M 'P n m a'
_symmetry_Int_Tables_number 62
_cell_length_a 6.6019
_cell_length_b 10.9507
_cell_length_c 10.6598
_cell_angle_alpha 90.00
_cell_angle_beta 90.00
_cell_angle_gamma 90.00
loop_
_symmetry_equiv_pos_as_xyz
'x,y,z'
'-x,-y,-z'
'-x+1/2,-y,z+1/2'
'x+1/2,y,-z+1/2'
'x+1/2,-y+1/2,-z+1/2'
'-x+1/2,y+1/2,z+1/2'
'-x,y+1/2,-z'
'x,-y+1/2,z'
loop_
_atom_site_label
_atom_site_fract_x
_atom_site_fract_y
_atom_site_fract_z
Na1 0.0673 0.0606 0.1560
H1 0.1961 0.5726 0.3883
H2 0.2093 0.1242 0.7644
S1 0.0171 0.7500 0.5869
S2 0.2504 0.2500 0.5399
O1 0.0649 0.2500 0.2846
O2 0.1251 0.6369 0.5545
O3 0.1393 0.6371 0.0122
O4 0.1549 0.2500 0.6655
O5 0.2426 0.0474 0.8084



Entry 2:
# NaHSO4 PBE relaxed
# Energy above the lowest structure with this stoichiometry: 0.00 kJ/mol of atoms
# Density of states at the Fermi level: 0.0 states/eV per cell
# DFT total energy: -156.87 eV for the cell shown
data_NaHSO4
_chemical_formula_sum 'Na4 H4 S4 O16'
_symmetry_space_group_name_H-M 'P 1 21/c 1'
_symmetry_Int_Tables_number 14
_cell_length_a 5.1591
_cell_length_b 7.7377
_cell_length_c 9.4568
_cell_angle_alpha 90.00
_cell_angle_beta 112.57
_cell_angle_gamma 90.00
loop_
_symmetry_equiv_pos_as_xyz
'x,y,z'
'-x,-y,-z'
'-x,y+1/2,-z+1/2'
'x,-y+1/2,z+1/2'
loop_
_atom_site_label
_atom_site_fract_x
_atom_site_fract_y
_atom_site_fract_z
Na1 0.0099 0.0038 0.2964
H1 0.3916 0.5397 0.6195
S1 0.4056 0.2234 0.0611
O1 0.2243 0.1302 0.5554
O2 0.2855 0.0674 0.1290
O3 0.2998 0.7467 0.3362
O4 0.3760 0.1691 0.9054



Entry 3:
# NaH3SO5 PBE relaxed
# Density of states at the Fermi level: 0.0 states/eV per cell
# DFT total energy: -216.26 eV for the cell shown
data_NaH3SO5
_chemical_formula_sum 'Na4 H12 S4 O20'
_symmetry_space_group_name_H-M 'C 1 c 1'
_symmetry_Int_Tables_number 9
_cell_length_a 7.8907
_cell_length_b 7.8182
_cell_length_c 8.1221
_cell_angle_alpha 90.00
_cell_angle_beta 116.36
_cell_angle_gamma 90.00
loop_
_symmetry_equiv_pos_as_xyz
'x,y,z'
'x,-y,z+1/2'
'x+1/2,y+1/2,z'
'x+1/2,-y+1/2,z+1/2'
loop_
_atom_site_label
_atom_site_fract_x
_atom_site_fract_y
_atom_site_fract_z
Na1 0.0000 0.0270 0.0000
H1 0.0475 0.2589 0.2911
H2 0.3392 0.3058 0.7129
H3 0.3854 0.0392 0.4946
S1 0.0188 0.3877 0.7474
O1 0.0940 0.2477 0.6799
O2 0.1557 0.4736 0.3317
O3 0.3429 0.0310 0.0753
O4 0.4313 0.1728 0.3639
O5 0.4698 0.3457 0.7502



Entry 4:
# Na2HSO4 PBE relaxed
# Density of states at the Fermi level: 12.1 states/eV per cell
# DFT total energy: -145.09 eV for the cell shown
data_Na2HSO4
_chemical_formula_sum 'Na8 H4 S4 O16'
_symmetry_space_group_name_H-M 'C 1 2/c 1'
_symmetry_Int_Tables_number 15
_cell_length_a 9.3801
_cell_length_b 6.8323
_cell_length_c 6.9574
_cell_angle_alpha 90.00
_cell_angle_beta 121.48
_cell_angle_gamma 90.00
loop_
_symmetry_equiv_pos_as_xyz
'x,y,z'
'-x,-y,-z'
'-x,y,-z+1/2'
'x,-y,z+1/2'
'x+1/2,y+1/2,z'
'-x+1/2,-y+1/2,-z'
'-x+1/2,y+1/2,-z+1/2'
'x+1/2,-y+1/2,z+1/2'
loop_
_atom_site_label
_atom_site_fract_x
_atom_site_fract_y
_atom_site_fract_z
Na1 0.0000 0.0000 0.0000
Na2 0.2500 0.2500 0.0000
H1 0.0000 0.5000 0.0000
S1 0.2500 0.2500 0.5000
O1 0.0638 0.3265 0.5169
O2 0.1702 0.0484 0.3934



Entry 5:
# Na2H10SO5 PBE relaxed
# Density of states at the Fermi level: 0.0 states/eV per cell
# DFT total energy: -337.43 eV for the cell shown
data_Na2H10SO5
_chemical_formula_sum 'Na8 H40 S4 O20'
_symmetry_space_group_name_H-M 'C m c m'
_symmetry_Int_Tables_number 63
_symmetry_space_group_name_Hall '-C 2c 2'
_cell_length_a 6.4712
_cell_length_b 12.6504
_cell_length_c 8.6857
_cell_angle_alpha 90.00
_cell_angle_beta 90.00
_cell_angle_gamma 90.00
loop_
_atom_site_label
_atom_site_fract_x
_atom_site_fract_y
_atom_site_fract_z
Na1 0.0000 0.0000 0.0000
Na2 0.0000 0.4536 0.2500
H1 0.1232 0.1391 0.2500
H2 0.1718 0.3499 0.5226
H3 0.1865 0.1848 0.6196
S1 0.0000 0.3106 0.7500
O1 0.0000 0.0930 0.2500
O2 0.2402 0.3764 0.0723



Entry 6:
# NaH5SO4 PBE relaxed
# Density of states at the Fermi level: 0.0 states/eV per cell
# DFT total energy: -439.89 eV for the cell shown
data_NaH5SO4
_chemical_formula_sum 'Na8 H40 S8 O32'
_symmetry_space_group_name_H-M 'P 1 21/c 1'
_symmetry_Int_Tables_number 14
_cell_length_a 5.9921
_cell_length_b 21.4729
_cell_length_c 7.6878
_cell_angle_alpha 90.00
_cell_angle_beta 104.40
_cell_angle_gamma 90.00
loop_
_symmetry_equiv_pos_as_xyz
'x,y,z'
'-x,-y,-z'
'-x,y+1/2,-z+1/2'
'x,-y+1/2,z+1/2'
loop_
_atom_site_label
_atom_site_fract_x
_atom_site_fract_y
_atom_site_fract_z
Na1 0.2286 0.1616 0.0877
Na2 0.2407 0.5918 0.2870
H1 0.0022 0.5359 0.7946
H2 0.0251 0.7193 0.8695
H3 0.1147 0.1690 0.4382
H4 0.2403 0.2075 0.6897
H5 0.2582 0.0379 0.6918
H6 0.2580 0.1087 0.4273
H7 0.2872 0.0401 0.9792
H8 0.3521 0.0178 0.1800
H9 0.3563 0.7279 0.2515
H10 0.3853 0.6895 0.0851
S1 0.3513 0.6434 0.7190
S2 0.3989 0.5663 0.8810
O1 0.1201 0.2291 0.5971
O2 0.1220 0.1321 0.3611
O3 0.1515 0.0172 0.7533
O4 0.1588 0.6313 0.5610
O5 0.2971 0.6964 0.8295
O6 0.3639 0.0537 0.1031
O7 0.4023 0.6866 0.2155
O8 0.4329 0.1574 0.8351